1.
Lu2IrOs | GGA-PBE | relaxed

Cell lengths 4.694, 4.694, 4.694 Å; angles 60.00, 60.00, 60.00 degrees
Sites, in units of the cell vectors:
Ir 0.500 0.500 0.500
Lu 0.000 0.000 0.000
Lu 0.250 0.250 0.250
Os 0.750 0.750 0.750

**E_form**: -0.0531 eV per atom

2.
Ho3Mg3ZnCdAg | GGA-PBE | relaxed

Cell lengths 7.705, 7.705, 4.134 Å; angles 90.00, 90.00, 120.00 degrees
Sites, in units of the cell vectors:
Ag 0.000 0.000 0.000
Cd 0.333 0.667 0.500
Ho 0.418 0.013 0.000
Ho 0.987 0.404 0.000
Ho 0.596 0.582 0.000
Mg 0.754 0.001 0.500
Mg 0.247 0.246 0.500
Mg 0.999 0.753 0.500
Zn 0.667 0.333 0.500

**Uncorrected energy**: -25.8 eV/f.u.

3.
YCoSnPt | GGA-PBE | relaxed

Cell lengths 4.695, 4.695, 4.695 Å; angles 60.00, 60.00, 60.00 degrees
Each line ends with the local moment (μB).
Sites, in units of the cell vectors:
Co 0.750 0.750 0.750  1.44
Pt 0.250 0.250 0.250  0.18
Sn 0.000 0.000 0.000  0.04
Y 0.500 0.500 0.500  -0.02

**Excess energy over the best structure of this formula in the dataset**: 0.000 eV per atom